# 1
NaSr2NiH6 | PBE | optimized geometry

Unit cell a=5.3308 b=5.3308 c=5.4590 alpha=90.00 beta=90.00 gamma=120.00
Closest atoms and distances in Å follow each position.
Sites, in units of the cell vectors:
Na  0.0000  0.0000  0.0000  6 H 2.26
Sr  0.3333  0.6667  0.6733  9 H 2.54-2.67
Sr  0.6667  0.3333  0.3267  9 H 2.54-2.67
Ni  0.0000  0.0000  0.5000  6 H 1.70
H  0.1524  0.3048  0.3240  1 Ni 1.70
H  0.1524  0.8476  0.3240  1 Ni 1.70
H  0.3048  0.1524  0.6760  1 Ni 1.70
H  0.6952  0.8476  0.3240  1 Ni 1.70
H  0.8476  0.1524  0.6760  1 Ni 1.70
H  0.8476  0.6952  0.6760  1 Ni 1.70

Computed properties:
Magnetic moment   0.0 μB/cell
Energy   -0.1231 Ha/atom
Volume   134.3 Å³ per cell

# 2
KAlNi | PBE | optimized geometry

Unit cell a=4.9791 b=4.9791 c=4.9791 alpha=60.00 beta=60.00 gamma=60.00
Closest atoms and distances in Å follow each position.
Sites, in units of the cell vectors:
K  0.0000  0.0000  0.0000  4 Ni 3.05, 4 Al 3.05
Al  0.2500  0.2500  0.2500  4 K 3.05
Ni  0.7500  0.7500  0.7500  4 K 3.05

Computed properties:
Magnetic moment   0.2 μB/cell
Energy above the most stable polymorph in this dataset   1308.6 meV/atom
Volume   87.3 Å³ per cell

# 3
Pr4Y3In | PBE | optimized geometry

Unit cell a=10.1378 b=7.1219 c=7.2049 alpha=90.00 beta=90.00 gamma=90.00
Closest atoms and distances in Å follow each position.
Sites, in units of the cell vectors:
Pr  0.0000  0.0002  0.0000  6 Y 3.54-3.56, 4 Pr 3.59, 2 In 3.60
Pr  0.0000  0.4991  0.5004  2 In 3.56-3.57, 4 Pr 3.57-3.58, 6 Y 3.60-3.63
Pr  0.2504  0.2523  0.7502  6 Y 3.49-3.63, 4 Pr 3.57-3.59, 2 In 3.59
Pr  0.2496  0.7477  0.2502  6 Y 3.49-3.63, 4 Pr 3.57-3.59, 2 In 3.59
Pr  0.5000  0.9998  0.5000  6 Y 3.54-3.56, 4 Pr 3.59, 2 In 3.60
Pr  0.5000  0.5009  0.0004  2 In 3.56-3.57, 4 Pr 3.57-3.58, 6 Y 3.60-3.63
Pr  0.7496  0.2523  0.7502  6 Y 3.49-3.63, 4 Pr 3.57-3.59, 2 In 3.59
Pr  0.7504  0.7477  0.2502  6 Y 3.49-3.63, 4 Pr 3.57-3.59, 2 In 3.59
Y  0.0000  0.4999  0.0000  8 Pr 3.56-3.60, 4 Y 3.63
Y  0.2501  0.2376  0.2501  8 Pr 3.49-3.63, 2 In 3.54, 2 Y 3.63
Y  0.2499  0.7624  0.7501  8 Pr 3.49-3.63, 2 In 3.54, 2 Y 3.63
Y  0.5000  0.5001  0.5000  8 Pr 3.56-3.60, 4 Y 3.63
Y  0.7499  0.2376  0.2501  8 Pr 3.49-3.63, 2 In 3.54, 2 Y 3.63
Y  0.7501  0.7624  0.7501  8 Pr 3.49-3.63, 2 In 3.54, 2 Y 3.63
In  0.0000  0.9997  0.5003  4 Y 3.54, 8 Pr 3.56-3.60
In  0.5000  0.0003  0.0003  4 Y 3.54, 8 Pr 3.56-3.60

Computed properties:
Magnetic moment   0.0 μB/cell
Energy above the most stable polymorph in this dataset   21.4 meV/atom
Volume   520.2 Å³ per cell